No. 1
CoBi3B after structural relaxation. Source: Alexandria, functional PBE.

```
5
Lattice="5.0663 0.0000 0.0000 0.0000 5.0663 0.0000 0.0000 0.0000 5.0663" Properties=species:S:1:pos:R:3 pbc="T T T"
Co 0.0000 0.0000 0.0000
Bi 0.0000 0.0000 2.5331
Bi 0.0000 2.5331 0.0000
Bi 2.5331 0.0000 0.0000
B 2.5331 2.5331 2.5331
```

- Symmetry: Pm-3m (221)
- Formation enthalpy at 0 K: 1.19 eV/atom
- Total DFT energy (no corrections): -3.89 eV/atom
- Polymorph energy (0 for the lowest one): 3 meV/atom
- DOS(E_F): 5.30 states/eV/f.u.



No. 2
YW6 after structural relaxation. Source: Alexandria, functional PBE.

```
14
Lattice="7.0723 0.0000 0.0000 0.0000 7.0723 0.0000 0.0000 0.0000 7.0723" Properties=species:S:1:pos:R:3 pbc="T T T"
Y 0.0000 0.0000 0.0000
Y 3.5362 3.5362 3.5362
W 0.0000 1.7681 3.5362
W 0.0000 3.5362 1.7681
W 0.0000 3.5362 5.3042
W 0.0000 5.3042 3.5362
W 1.7681 0.0000 3.5362
W 1.7681 3.5362 0.0000
W 3.5362 0.0000 1.7681
W 3.5362 0.0000 5.3042
W 3.5362 1.7681 0.0000
W 3.5362 5.3042 0.0000
W 5.3042 0.0000 3.5362
W 5.3042 3.5362 0.0000
```

- Symmetry: Im-3m (229)
- Formation enthalpy at 0 K: 1.90 eV/atom
- Total DFT energy (no corrections): -10.13 eV/atom
- DOS(E_F): 13.47 states/eV/f.u.



No. 3
TaZnTe2 after structural relaxation. Source: Alexandria, functional PBE.

```
8
Lattice="8.9814 0.0000 0.0000 0.0000 3.6457 0.0000 -0.9661 0.0000 6.6982" Properties=species:S:1:pos:R:3 pbc="T T T"
Ta 0.0000 0.0000 0.0000
Ta 4.4907 1.8228 0.0000
Zn 2.0321 1.8228 0.9888
Zn 6.5228 0.0000 0.9888
Te -0.2883 1.8228 2.1624
Te 1.7235 0.0000 5.4996
Te 4.2024 0.0000 2.1624
Te 6.2142 1.8228 5.4996
```

- Symmetry: Cm (8)
- Total DFT energy (no corrections): -4.76 eV/atom
- DOS(E_F): 2.84 states/eV/f.u.
- Formation energy (no corrections): 0.093 eV/atom



No. 4
Ho2Mg2Zr after structural relaxation. Source: Alexandria, functional PBE.

```
10
Lattice="3.3901 0.0000 0.0000 0.0000 3.3901 0.0000 0.0000 0.0000 22.8354" Properties=species:S:1:pos:R:3 pbc="T T T"
Ho 0.0000 0.0000 2.2946
Ho 0.0000 0.0000 20.5409
Ho 1.6951 1.6951 9.1231
Ho 1.6951 1.6951 13.7123
Mg 0.0000 0.0000 6.7006
Mg 0.0000 0.0000 16.1348
Mg 1.6951 1.6951 4.7171
Mg 1.6951 1.6951 18.1184
Zr 0.0000 0.0000 11.4177
Zr 1.6951 1.6951 0.0000
```

- Symmetry: I4/mmm (139)
- Formation enthalpy at 0 K: -0.03 eV/atom
- Total DFT energy (no corrections): -4.21 eV/atom
- DOS(E_F): 4.02 states/eV/f.u.



No. 5
CeHoPb2 after structural relaxation. Source: Alexandria, functional PBE.

```
4
Lattice="5.0671 0.0000 0.0000 0.0000 5.0671 0.0000 0.0000 0.0000 4.4952" Properties=species:S:1:pos:R:3 pbc="T T T"
Ce 0.0000 0.0000 0.0000
Ho 2.5335 2.5335 0.0000
Pb 0.0000 2.5335 2.2476
Pb 2.5335 0.0000 2.2476
```

- Symmetry: P4/mmm (123)
- Formation enthalpy at 0 K: -0.41 eV/atom
- Total DFT energy (no corrections): -4.89 eV/atom
- DOS(E_F): 8.33 states/eV/f.u.



No. 6
Tl2CdInH after structural relaxation. Source: Alexandria, functional PBE.

```
5
Lattice="5.0059 0.0000 0.0000 0.0000 5.0059 0.0000 0.0000 0.0000 4.7536" Properties=species:S:1:pos:R:3 pbc="T T T"
Tl 0.0000 2.5030 0.0000
Tl 2.5030 0.0000 0.0000
Cd 0.0000 0.0000 2.3768
In 2.5030 2.5030 2.3768
H 2.5030 2.5030 0.0000
```

- Symmetry: P4/mmm (123)
- Total DFT energy (no corrections): -2.12 eV/atom
- Polymorph energy (0 for the lowest one): 29 meV/atom
- DOS(E_F): 2.30 states/eV/f.u.



No. 7
Ac6CdRu2 after structural relaxation. Source: Alexandria, functional PBE.

```
9
Lattice="5.4926 -2.8398 0.0000 5.4926 2.8398 0.0000 -1.7561 0.0000 9.6402" Properties=species:S:1:pos:R:3 pbc="T T T"
Ac -0.2195 0.0000 3.2911
Ac 2.0212 0.0000 6.3119
Ac 3.5518 0.0000 1.1363
Ac 5.6773 0.0000 8.5039
Ac 7.2079 0.0000 3.3283
Ac 9.4485 0.0000 6.3491
Cd 0.0000 0.0000 0.0000
Ru 3.6075 0.0000 3.9194
Ru 5.6216 0.0000 5.7208
```

- Symmetry: C2/m (12)
- Formation enthalpy at 0 K: -0.07 eV/atom
- Total DFT energy (no corrections): -4.97 eV/atom
- Polymorph energy (0 for the lowest one): 122 meV/atom
- DOS(E_F): 8.87 states/eV/f.u.